No. 1
Compound: BeHgSe
Source: Alexandria via LeMat-Bulk
Functional: PBE
Structure: optimized geometry

abc: 3.6659 3.6659 7.5173
angles: 90.00 90.00 120.00
Fractional coordinates of all 3 atoms:
Be1 0.0000 0.0000 0.0000
Hg1 0.6667 0.3333 0.4987
Se1 0.3333 0.6667 0.9990

## Properties
Uncorrected formation energy   -1.10 eV per formula unit
Energy relative to the lowest polymorph listed for this composition   0.0404 eV per atom
Space group   P3m1
E   -2.87 eV per atom
DOS(E_F)   0.00 states/eV/f.u.



No. 2
Compound: SrMgAgHg2
Source: Alexandria via LeMat-Bulk
Functional: PBE
Structure: optimized geometry

abc: 6.2478 6.2478 6.5824
angles: 90.00 90.00 90.00
Fractional coordinates of all 5 atoms:
Sr1 0.0000 0.0000 0.0000
Mg1 0.0000 0.0000 0.5000
Ag1 0.5000 0.5000 0.5000
Hg1 0.0000 0.5000 0.0000
Hg2 0.5000 0.0000 0.0000

## Properties
Energy relative to the lowest polymorph listed for this composition   0.9430 eV per atom
Space group   P4/mmm
E   -0.72 eV per atom
DOS(E_F)   2.42 states/eV/f.u.



No. 3
Compound: Ac5Ga4Ge
Source: Alexandria via LeMat-Bulk
Functional: PBE
Structure: optimized geometry

abc: 3.9295 3.9295 19.5442
angles: 90.00 90.00 90.00
Fractional coordinates of all 10 atoms:
Ac1 0.0000 0.0000 0.0000
Ac2 0.0000 0.0000 0.2001
Ac3 0.0000 0.0000 0.4008
Ac4 0.0000 0.0000 0.5992
Ac5 0.0000 0.0000 0.7999
Ga1 0.5000 0.5000 0.1000
Ga2 0.5000 0.5000 0.2972
Ga3 0.5000 0.5000 0.7028
Ga4 0.5000 0.5000 0.9000
Ge1 0.5000 0.5000 0.5000

## Properties
Space group   P4/mmm
E   -4.19 eV per atom
DOS(E_F)   6.77 states/eV/f.u.



No. 4
Compound: Zn4Ni
Source: Alexandria via LeMat-Bulk
Functional: PBE
Structure: optimized geometry

abc: 4.6943 4.6943 6.5682
angles: 120.81 120.81 34.10
Fractional coordinates of all 5 atoms:
Zn1 0.0859 0.0859 0.3742
Zn2 0.2848 0.2848 0.1926
Zn3 0.7152 0.7152 0.8074
Zn4 0.9141 0.9141 0.6258
Ni1 0.5000 0.5000 0.0000

## Properties
Space group   C2/m
E   -2.28 eV per atom
DOS(E_F)   1.77 states/eV/f.u.



No. 5
Compound: NaAcCd2Sn2
Source: Alexandria via LeMat-Bulk
Functional: PBE
Structure: optimized geometry

abc: 4.9507 4.9507 7.8786
angles: 90.00 90.00 120.00
Fractional coordinates of all 6 atoms:
Na1 0.0000 0.0000 0.0000
Ac1 0.0000 0.0000 0.5000
Cd1 0.3333 0.6667 0.1803
Cd2 0.6667 0.3333 0.8197
Sn1 0.3333 0.6667 0.7491
Sn2 0.6667 0.3333 0.2509

## Properties
Space group   P-3m1
E   -2.94 eV per atom
DOS(E_F)   1.22 states/eV/f.u.



No. 6
Compound: SmEr2ThAs4
Source: Alexandria via LeMat-Bulk
Functional: PBE
Structure: optimized geometry

abc: 7.1841 4.1683 7.2090
angles: 90.00 109.50 90.00
Fractional coordinates of all 8 atoms:
Sm1 0.0000 0.0000 0.0000
Er1 0.5000 0.0000 0.5000
Er2 0.5000 0.5000 0.0000
Th1 0.0000 0.5000 0.5000
As1 0.2585 0.5000 0.2529
As2 0.2595 0.0000 0.7538
As3 0.7405 0.0000 0.2462
As4 0.7415 0.5000 0.7471

## Properties
Space group   P2/m
E   -6.49 eV per atom
DOS(E_F)   1.53 states/eV/f.u.